## Ca2CePm (GGA-PBE)

Data for an optimized crystal structure of Ca2CePm.

Cell: 13.434 13.434 13.434 Å, 15.20 15.20 15.20°
Positions (direct):
Ca1 0.088 0.088 0.088
Ca2 0.912 0.912 0.912
Ce1 0.500 0.500 0.500
Pm1 0.000 0.000 0.000

* ΔE_f: 0.281 eV per atom
* DOS(E_F): 10.051 states/eV/cell